# La5HoEr3

An optimized crystal structure of La5HoEr3 (PBE-GGA, Alexandria via LeMat-Bulk).

abc: 6.5462 11.6803 11.5653
angles: 128.61 90.00 106.27
Last column: nearest neighbours and their distance in Å.
Element x y z (fractional)
La (0.6479, 0.6492, 0.0089)  4 La 3.33-3.57, 1 Er 3.58, 1 Ho 3.60
La (0.6015, 0.0000, 0.2500)  2 Ho 3.11-3.44, 2 La 3.33
La (0.5294, 0.6736, 0.3840)  4 Er 3.50-3.59, 4 La 3.52-3.86, 1 Ho 3.55
La (0.3985, 0.0000, 0.7500)  2 Ho 3.11-3.44, 2 La 3.33
La (0.3521, 0.3508, 0.9911)  4 La 3.33-3.57, 1 Er 3.58, 1 Ho 3.60
La (0.4706, 0.3264, 0.6160)  4 Er 3.50-3.59, 4 La 3.52-3.86, 1 Ho 3.55
La (0.9987, 0.3508, 0.4911)  4 La 3.33-3.57, 1 Er 3.58, 1 Ho 3.60
La (0.8558, 0.3264, 0.1160)  4 Er 3.50-3.59, 4 La 3.52-3.86, 1 Ho 3.55
La (0.1442, 0.6736, 0.8840)  4 Er 3.50-3.59, 4 La 3.52-3.86, 1 Ho 3.55
La (0.0013, 0.6492, 0.5089)  4 La 3.33-3.57, 1 Er 3.58, 1 Ho 3.60
Er (0.4428, 0.3197, 0.3058)  1 Ho 3.36, 4 La 3.50-3.58, 2 Er 3.51-3.62
Er (0.1231, 0.6803, 0.1942)  1 Ho 3.36, 4 La 3.50-3.58, 2 Er 3.51-3.62
Er (0.8769, 0.3197, 0.8058)  1 Ho 3.36, 4 La 3.50-3.58, 2 Er 3.51-3.62
Er (0.5572, 0.6803, 0.6942)  1 Ho 3.36, 4 La 3.50-3.58, 2 Er 3.51-3.62
Er (0.0000, 0.0000, 0.0000)  2 Ho 3.01
Er (0.0000, 0.0000, 0.5000)  2 Ho 3.01
Ho (0.8736, 0.0000, 0.7500)  4 Er 3.01-3.36, 1 La 3.11
Ho (0.1264, 0.0000, 0.2500)  4 Er 3.01-3.36, 1 La 3.11

Summary:
ΔE_f ... 2.22 eV per formula unit